# 1
The following is a DFT calculation (meta-GGA SCAN) of a crystal of MgGaCo3 relaxed with PBEsol.

The structure in POSCAR format:
```
MgGaCo3
1.0
4.239 0.000 0.000
0.000 4.239 0.000
0.000 0.000 4.239
Mg Ga Co
1 1 3
Direct
0.000 0.000 0.000
0.500 0.500 0.500
0.000 0.000 0.500
0.000 0.500 0.000
0.500 0.000 0.000
```

As for the density of states at the Fermi level: 1.50 states/eV per cell. As for the total energy: -66.199 eV/cell. As for the crystal system: cubic. The calculation puts the formation energy at 1.41 eV/atom.

# 2
The following is a DFT calculation (meta-GGA SCAN) of a crystal of Mg2GaCo2 relaxed with PBEsol.

The structure in POSCAR format:
```
Mg2GaCo2
1.0
5.966 0.000 0.000
0.000 5.966 0.000
0.000 0.000 4.083
Mg Ga Co
4 2 4
Direct
0.170 0.330 0.000
0.330 0.830 0.000
0.670 0.170 0.000
0.830 0.670 0.000
0.000 0.000 0.500
0.500 0.500 0.500
0.131 0.631 0.500
0.369 0.131 0.500
0.631 0.869 0.500
0.869 0.369 0.500
```

As for the density of states at the Fermi level: 2.60 states/eV per cell. As for the total energy: -122.488 eV/cell. As for the crystal system: tetragonal. The calculation puts the formation energy at -0.07 eV/atom.

# 3
The following is a DFT calculation (meta-GGA SCAN) of a crystal of Mg3Ga7Co2 relaxed with PBEsol.

The structure in POSCAR format:
```
Mg3Ga7Co2
1.0
4.482 -4.665 0.000
4.482 4.665 0.000
-0.586 0.000 9.243
Mg Ga Co
6 14 4
Direct
0.146 0.854 0.750
0.256 0.363 0.697
0.363 0.256 0.197
0.637 0.744 0.803
0.744 0.637 0.303
0.854 0.146 0.250
0.055 0.191 0.974
0.111 0.446 0.398
0.191 0.055 0.474
0.228 0.772 0.250
0.306 0.567 0.982
0.433 0.694 0.518
0.446 0.111 0.898
0.554 0.889 0.102
0.567 0.306 0.482
0.694 0.433 0.018
0.772 0.228 0.750
0.809 0.945 0.526
0.889 0.554 0.602
0.945 0.809 0.026
0.031 0.484 0.144
0.484 0.031 0.644
0.516 0.969 0.356
0.969 0.516 0.856
```

As for the density of states at the Fermi level: 9.29 states/eV per cell. As for the total energy: -333.976 eV/cell. As for the crystal system: monoclinic. The calculation puts the formation energy at -0.25 eV/atom.

# 4
The following is a DFT calculation (meta-GGA SCAN) of a crystal of MgGa2Co2 relaxed with PBEsol.

The structure in POSCAR format:
```
MgGa2Co2
1.0
6.906 0.000 0.000
0.000 6.906 0.000
0.000 0.000 2.735
Mg Ga Co
2 4 4
Direct
0.000 0.000 0.000
0.500 0.500 0.000
0.136 0.364 0.000
0.364 0.864 0.000
0.636 0.136 0.000
0.864 0.636 0.000
0.160 0.660 0.500
0.340 0.160 0.500
0.660 0.840 0.500
0.840 0.340 0.500
```

As for the density of states at the Fermi level: 4.75 states/eV per cell. As for the total energy: -146.056 eV/cell. As for the crystal system: tetragonal. The calculation puts the formation energy at -0.15 eV/atom.

# 5
The following is a DFT calculation (meta-GGA SCAN) of a crystal of Mg2GaCoW relaxed with PBEsol.

The structure in POSCAR format:
```
Mg2GaCoW
1.0
4.577 0.000 0.000
0.000 4.577 0.000
0.000 0.000 4.446
Mg Ga Co W
2 1 1 1
Direct
0.000 0.500 0.000
0.500 0.000 0.000
0.000 0.000 0.500
0.500 0.500 0.000
0.500 0.500 0.500
```

As for the density of states at the Fermi level: 3.41 states/eV per cell. As for the total energy: -109.440 eV/cell. As for the crystal system: tetragonal. The calculation puts the formation energy at 0.77 eV/atom.

# 6
The following is a DFT calculation (meta-GGA SCAN) of a crystal of MnGa2Co relaxed with PBEsol.

The structure in POSCAR format:
```
MnGa2Co
1.0
0.000 2.740 3.239
2.734 0.000 3.239
2.734 2.740 0.000
Mn Ga Co
1 2 1
Direct
0.000 0.000 0.000
0.250 0.250 0.250
0.750 0.750 0.750
0.500 0.500 0.500
```

As for the density of states at the Fermi level: 1.50 states/eV per cell. As for the total energy: -69.017 eV/cell. As for the crystal system: orthorhombic. The calculation puts the formation energy at -0.19 eV/atom.